LiCd2SnAu2 | PBE-GGA | relaxed

Unit cell a=4.4540 b=9.0189 c=6.1112 alpha=90.00 beta=90.00 gamma=90.00
Space group Pmc2_1 (No. 26)
Inequivalent atoms, fractional coordinates:
1 Li 0.0000 0.0393 0.0000 x2
2 Cd 0.0000 0.3046 0.3422 x2
3 Cd 0.5000 0.4582 0.0972 x2
4 Sn 0.5000 0.1843 0.7337 x2
5 Au 0.0000 0.3671 0.8199 x2
6 Au 0.5000 0.1192 0.2684 x2

Values from the calculation:
DFT formation energy (meV/atom): -259
Density of states at the Fermi level (states/eV/f.u.): 1.2